*1*
Entry from the Alexandria database: a relaxed Bi4PdPt crystal (PBE-GGA).

Cell: 6.8199 6.8177 6.8170 Å, 90.00 90.48 90.00°
Last column: nearest neighbours and their distance in Å.
Fractional coordinates of all 12 atoms:
1 Bi 0.1308 0.1296 0.1319  2 Pt 2.81-2.82, 1 Pd 2.82, 1 Bi 3.08
2 Bi 0.1308 0.3704 0.6319  2 Pt 2.81-2.82, 1 Pd 2.82, 1 Bi 3.08
3 Bi 0.3692 0.6319 0.1293  2 Pd 2.81-2.82, 1 Pt 2.81, 1 Bi 3.09
4 Bi 0.3692 0.8681 0.6293  2 Pd 2.81-2.82, 1 Pt 2.81, 1 Bi 3.09
5 Bi 0.6308 0.1319 0.3707  2 Pd 2.81-2.82, 1 Pt 2.81, 1 Bi 3.09
6 Bi 0.6308 0.3681 0.8707  2 Pd 2.81-2.82, 1 Pt 2.81, 1 Bi 3.09
7 Bi 0.8692 0.6296 0.3681  2 Pt 2.81-2.82, 1 Pd 2.82, 1 Bi 3.08
8 Bi 0.8692 0.8704 0.8681  2 Pt 2.81-2.82, 1 Pd 2.82, 1 Bi 3.08
9 Pd 0.5000 0.0000 0.0000  6 Bi 2.81-2.82
10 Pd 0.5000 0.5000 0.5000  6 Bi 2.81-2.82
11 Pt 0.0000 0.0000 0.5000  6 Bi 2.81-2.82
12 Pt 0.0000 0.5000 0.0000  6 Bi 2.81-2.82

=====

*2*
Entry from the Alexandria database: a relaxed Bi4PdPt crystal (PBE-GGA).

Cell: 5.8369 5.8369 5.8369 Å, 105.10 105.10 118.62°
Last column: nearest neighbours and their distance in Å.
Fractional coordinates of all 6 atoms:
1 Bi 0.0829 0.5829 0.1658  2 Pt 3.03, 2 Pd 3.03, 1 Bi 3.35
2 Bi 0.4171 0.9171 0.8342  2 Pt 3.03, 2 Pd 3.03, 1 Bi 3.35
3 Bi 0.5829 0.4171 0.5000  2 Pt 3.03, 2 Pd 3.03, 1 Bi 3.35
4 Bi 0.9171 0.0829 0.5000  2 Pt 3.03, 2 Pd 3.03, 1 Bi 3.35
5 Pd 0.0000 0.0000 0.0000  2 Pt 2.98, 8 Bi 3.03
6 Pt 0.5000 0.5000 0.0000  2 Pd 2.98, 8 Bi 3.03

=====

*1* is the most stable structure shown above.